Density functional theory data (PBE) for MnPtSe after structural relaxation.

Cell: 3.397 3.397 8.583 Å, 90.00 90.00 90.00°
Space group I4mm (No. 107)
Asymmetric unit:
Mn 0.000 0.000 0.000 [2 per cell]
Pt 0.000 0.000 0.660 [2 per cell]
Se 0.000 0.000 0.356 [2 per cell]

Results
Polymorph energy (0 for the lowest one) = 0.0750 eV/atom
Formation energy without anion corrections = -43 meV/atom



Density functional theory data (PBE) for GdTlNi4 after structural relaxation.

Cell: 7.125 7.125 7.125 Å, 90.00 90.00 90.00°
Space group F-43m (No. 216)
Asymmetric unit:
Gd 0.000 0.000 0.000 [4 per cell]
Tl 0.250 0.250 0.250 [4 per cell]
Ni 0.124 0.124 0.624 [16 per cell]

Results
E_form = -0.261 eV/atom



Density functional theory data (PBE) for KTl4As after structural relaxation.

Cell: 10.339 4.282 8.797 Å, 90.00 90.00 90.00°
Space group Pmma (No. 51)
Asymmetric unit:
K 0.250 0.000 0.124 [2 per cell]
Tl 0.000 0.000 0.500 [2 per cell]
Tl 0.051 0.500 0.808 [4 per cell]
Tl 0.250 0.500 0.470 [2 per cell]
As 0.250 0.000 0.742 [2 per cell]

Results
Polymorph energy (0 for the lowest one) = 0.0000 eV/atom
E_form = -0.109 eV/atom



Density functional theory data (PBE) for SrPr5In4 after structural relaxation.

Cell: 3.871 3.871 21.870 Å, 90.00 90.00 90.00°
Space group P4/mmm (No. 123)
Asymmetric unit:
Sr 0.000 0.000 0.000 [1 per cell]
Pr 0.500 0.500 0.139 [2 per cell]
Pr 0.500 0.500 0.319 [2 per cell]
Pr 0.500 0.500 0.500 [1 per cell]
In 0.000 0.000 0.226 [2 per cell]
In 0.000 0.000 0.409 [2 per cell]

Results
E_form = -0.354 eV/atom



Ordered raw total energy results: -6.275, -6.857, -2.644, -4.008; unit eV/atom.